Entry 1:
A plane-wave DFT calculation with GGA-PBE was carried out for an optimized crystal structure of MnFeIr.

It has space group P6_3/mmc (No. 194), with a = 4.2186 Å, b = 4.2186 Å, c = 5.0687 Å, α = 90.00°, β = 90.00° and γ = 120.00°. The inequivalent atoms are Mn at (0.3333, 0.6667, 0.2500), Fe at (0.0000, 0.0000, 0.0000) and Ir at (0.3333, 0.6667, 0.7500).

Its total magnetization is 4.41 μB/f.u. The value obtained for the energy is -8.693 eV per atom. Its crystal system is hexagonal. The energy relative to the lowest polymorph listed for this composition is 0.69 eV/f.u. The calculation puts the formation enthalpy at 0 K at 0.139 eV/atom.

=====

Entry 2:
A plane-wave DFT calculation with GGA-PBE was carried out for an optimized crystal structure of LaTi2N.

It has space group I-42d (No. 122), with a = 6.287 Å, b = 6.287 Å, c = 8.901 Å, α = 90.00°, β = 90.00° and γ = 90.00°. The inequivalent atoms are La at (0.000, 0.000, 0.000), Ti at (0.001, 0.750, 0.625) and N at (0.000, 0.000, 0.500).

Its total magnetization is 0.00 μB/f.u. The value obtained for the energy is -7.751 eV per atom. Its crystal system is tetragonal. Its energy relative to the elements, uncorrected is -0.49 eV per atom.

=====

Entry 3:
A plane-wave DFT calculation with GGA-PBE was carried out for an optimized crystal structure of Na5Tl2HgAu2.

It has space group P4/mbm (No. 127), with a = 12.356 Å, b = 12.356 Å, c = 3.614 Å, α = 90.00°, β = 90.00° and γ = 90.00°. The inequivalent atoms are Na at (0.000, 0.500, 0.000), Na at (0.029, 0.210, 0.000), Tl at (0.197, 0.697, 0.500), Hg at (0.000, 0.000, 0.500) and Au at (0.137, 0.363, 0.500).

Its total magnetization is 0.00 μB/f.u. The value obtained for the energy is -2.000 eV per atom. Its crystal system is tetragonal. The calculation puts the formation enthalpy at 0 K at -0.181 eV/atom.

=====

> Among the records above, which one has the highest energy?

Na5Tl2HgAu2